MgCr2In (PBE, optimized geometry); energy of formation from the pure elements = 0.28 eV per atom
1.0
4.627 -0.003 0.000
0.015 4.627 0.000
-2.321 -2.312 3.267
In Mg Cr
1 1 2
Direct
0.500 0.500 0.000 In
0.750 0.250 0.500 Mg
0.250 0.750 0.500 Cr
0.000 0.000 0.000 Cr